# 1
Below is crystalline K3Er3SbSe8 at its relaxed geometry, with properties calculated at the PBE level.

Lattice parameters (Å, degrees): 8.2602 8.2612 9.1629 116.80 89.99 120.01
Fractional positions:
K: 0.0000 0.0000 0.0000
K: 0.0000 0.5000 0.0000
K: 0.5000 0.5000 0.0000
Er: 0.5000 0.0000 0.5000
Er: 0.5000 0.5000 0.5000
Er: 0.0000 0.5000 0.5000
Sb: 0.0000 0.0000 0.5000
Se: 0.2658 0.5317 0.2977
Se: 0.7342 0.4683 0.7023
Se: 0.7691 0.5384 0.3007
Se: 0.2309 0.4616 0.6993
Se: 0.7691 0.0314 0.3008
Se: 0.2309 0.9686 0.6992
Se: 0.2623 0.0315 0.3008
Se: 0.7377 0.9685 0.6992

Results
- Raw total energy: -4.700 eV/atom
- Size of the total moment: 0.000 μB per atom
- Symmetry: No. 166

# 2
Below is crystalline K4Er3SbSe8 at its relaxed geometry, with properties calculated at the PBE level.

Lattice parameters (Å, degrees): 8.4076 9.0743 8.4075 117.61 120.00 90.00
Fractional positions:
K: 0.5000 0.0000 0.0000
K: 0.5000 0.0000 0.5000
K: 0.0000 0.0000 0.0000
K: 0.0000 0.0000 0.5000
Er: 0.5000 0.5000 0.0000
Er: 0.5000 0.5000 0.5000
Er: 0.0000 0.5000 0.5000
Sb: 0.0000 0.5000 0.0000
Se: 0.2363 0.7036 0.9674
Se: 0.2363 0.7036 0.4726
Se: 0.2655 0.2966 0.5310
Se: 0.7311 0.7036 0.9674
Se: 0.2689 0.2964 0.0326
Se: 0.7345 0.7034 0.4690
Se: 0.7637 0.2964 0.5274
Se: 0.7637 0.2964 0.0326

Results
- Raw total energy: -4.623 eV/atom
- Size of the total moment: 0.000 μB per atom
- Symmetry: No. 166

# 3
Below is crystalline K2ErSbSe4 at its relaxed geometry, with properties calculated at the PBE level.

Lattice parameters (Å, degrees): 8.7127 8.7127 8.6437 119.74 119.74 90.04
Fractional positions:
K: 0.5000 0.0000 0.0000
K: 0.5000 0.0000 0.5000
K: 0.0000 0.0000 0.5000
K: 0.5000 0.5000 0.0000
Er: 0.0000 0.5000 0.0000
Er: 0.0000 0.5000 0.5000
Sb: 0.5000 0.5000 0.5000
Sb: 0.0000 0.0000 0.0000
Se: 0.2067 0.7324 0.9695
Se: 0.7676 0.2933 0.5305
Se: 0.2324 0.7067 0.4695
Se: 0.7933 0.2676 0.0305
Se: 0.7662 0.7338 0.9758
Se: 0.7662 0.7338 0.5242
Se: 0.2338 0.2662 0.4758
Se: 0.2338 0.2662 0.0242

Results
- Raw total energy: -4.302 eV/atom
- Size of the total moment: 0.000 μB per atom
- Symmetry: No. 74

# 4
Below is crystalline K2ErSbTe4 at its relaxed geometry, with properties calculated at the PBE level.

Lattice parameters (Å, degrees): 4.4905 7.8288 8.6214 107.37 90.00 90.00
Fractional positions:
K: 0.5000 0.0000 0.5000
K: 0.0000 0.5000 0.5000
Er: 0.5000 0.5000 0.0000
Sb: 0.0000 0.0000 0.0000
Te: 0.5000 0.2376 0.2053
Te: 0.5000 0.7624 0.7947
Te: 0.0000 0.2661 0.7950
Te: 0.0000 0.7339 0.2050

Results
- Raw total energy: -3.885 eV/atom
- Size of the total moment: 0.000 μB per atom
- Symmetry: No. 10

# 5
Below is crystalline K3Er3SbTe8 at its relaxed geometry, with properties calculated at the PBE level.

Lattice parameters (Å, degrees): 8.7951 8.8112 9.8499 116.65 89.99 119.95
Fractional positions:
K: 0.0000 0.0000 0.0000
K: 0.0000 0.5000 0.0000
K: 0.5000 0.5000 0.0000
Er: 0.5000 0.0000 0.5000
Er: 0.5000 0.5000 0.5000
Er: 0.0000 0.5000 0.5000
Sb: 0.0000 0.0000 0.5000
Te: 0.2642 0.5284 0.2928
Te: 0.7358 0.4716 0.7072
Te: 0.7654 0.5309 0.2963
Te: 0.2346 0.4691 0.7037
Te: 0.7654 0.0306 0.2965
Te: 0.2346 0.9694 0.7035
Te: 0.2652 0.0307 0.2965
Te: 0.7348 0.9693 0.7035

Results
- Raw total energy: -4.174 eV/atom
- Size of the total moment: 0.000 μB per atom
- Symmetry: No. 12

# 6
Below is crystalline K3Er2SbTe6 at its relaxed geometry, with properties calculated at the PBE level.

Lattice parameters (Å, degrees): 7.7874 7.7874 8.6210 98.66 98.66 120.00
Fractional positions:
K: 0.1655 0.8345 0.5000
K: 0.8345 0.1655 0.5000
K: 0.5000 0.5000 0.5000
Er: 0.3332 0.6668 0.0000
Er: 0.6668 0.3332 0.0000
Sb: 0.0000 0.0000 0.0000
Te: 0.9315 0.5971 0.7945
Te: 0.7340 0.7340 0.2052
Te: 0.0685 0.4029 0.2055
Te: 0.5971 0.9315 0.7945
Te: 0.2660 0.2660 0.7948
Te: 0.4029 0.0685 0.2055

Results
- Raw total energy: -4.045 eV/atom
- Size of the total moment: 0.000 μB per atom
- Symmetry: No. 12

# 7
Below is crystalline KEr2Sc at its relaxed geometry, with properties calculated at the PBE level.

Lattice parameters (Å, degrees): 3.4812 3.4812 13.0020 82.31 82.31 60.00
Fractional positions:
Sc: 0.5000 0.5000 0.5000
K: 0.0000 0.0000 0.0000
Er: 0.0986 0.0986 0.7043
Er: 0.9014 0.9014 0.2957

Results
- Raw total energy: -3.873 eV/atom
- Energy relative to the elements: 0.266 eV/atom
- Size of the total moment: 0.000 μB per atom
- Symmetry: No. 166

# 8
Below is crystalline K4Er3ScSe8 at its relaxed geometry, with properties calculated at the PBE level.

Lattice parameters (Å, degrees): 8.2795 9.0327 8.2794 117.28 120.00 90.00
Fractional positions:
K: 0.5000 0.0000 0.0000
K: 0.5000 0.0000 0.5000
K: 0.0000 0.0000 0.0000
K: 0.0000 0.0000 0.5000
Er: 0.5000 0.5000 0.0000
Er: 0.5000 0.5000 0.5000
Er: 0.0000 0.5000 0.5000
Sc: 0.0000 0.5000 0.0000
Se: 0.2291 0.7002 0.9711
Se: 0.2291 0.7002 0.4582
Se: 0.2650 0.2951 0.5301
Se: 0.7420 0.7002 0.9711
Se: 0.2580 0.2998 0.0289
Se: 0.7350 0.7049 0.4699
Se: 0.7709 0.2998 0.5418
Se: 0.7709 0.2998 0.0289

Results
- Raw total energy: -4.987 eV/atom
- Size of the total moment: 0.000 μB per atom
- Symmetry: No. 166

# 9
Below is crystalline K3Er2ScSe6 at its relaxed geometry, with properties calculated at the PBE level.

Lattice parameters (Å, degrees): 7.1454 7.1454 8.0201 98.55 98.55 120.00
Fractional positions:
K: 0.1685 0.8315 0.5000
K: 0.8315 0.1685 0.5000
K: 0.5000 0.5000 0.5000
Er: 0.3336 0.6664 0.0000
Er: 0.6664 0.3336 0.0000
Sc: 0.0000 0.0000 0.0000
Se: 0.9332 0.6094 0.7994
Se: 0.7434 0.7434 0.2010
Se: 0.0668 0.3906 0.2006
Se: 0.6094 0.9332 0.7994
Se: 0.2566 0.2566 0.7990
Se: 0.3906 0.0668 0.2006

Results
- Raw total energy: -5.013 eV/atom
- Size of the total moment: 0.000 μB per atom
- Symmetry: No. 12

# 10
Below is crystalline K4Er3ScTe8 at its relaxed geometry, with properties calculated at the PBE level.

Lattice parameters (Å, degrees): 8.8582 9.6869 8.8585 117.22 120.00 90.00
Fractional positions:
K: 0.5000 0.0000 0.0000
K: 0.5000 0.0000 0.5000
K: 0.0000 0.0000 0.0000
K: 0.0000 0.0000 0.5000
Er: 0.5000 0.5000 0.0000
Er: 0.5000 0.5000 0.5000
Er: 0.0000 0.5000 0.5000
Sc: 0.0000 0.5000 0.0000
Te: 0.2303 0.7034 0.9731
Te: 0.2303 0.7034 0.4607
Te: 0.2639 0.2917 0.5278
Te: 0.7428 0.7034 0.9731
Te: 0.2572 0.2966 0.0269
Te: 0.7361 0.7083 0.4722
Te: 0.7697 0.2966 0.5393
Te: 0.7697 0.2966 0.0269

Results
- Raw total energy: -4.443 eV/atom
- Size of the total moment: 0.000 μB per atom
- Symmetry: No. 166

# 11
Below is crystalline K3ErSc2Te6 at its relaxed geometry, with properties calculated at the PBE level.

Lattice parameters (Å, degrees): 7.5569 7.5569 8.5857 98.45 98.45 120.00
Fractional positions:
K: 0.1640 0.8360 0.5000
K: 0.8360 0.1640 0.5000
K: 0.5000 0.5000 0.5000
Er: 0.0000 0.0000 0.0000
Sc: 0.3329 0.6671 0.0000
Sc: 0.6671 0.3329 0.0000
Te: 0.9328 0.5901 0.7988
Te: 0.7239 0.7239 0.2003
Te: 0.0672 0.4099 0.2012
Te: 0.5901 0.9328 0.7988
Te: 0.2761 0.2761 0.7997
Te: 0.4099 0.0672 0.2012

Results
- Raw total energy: -4.575 eV/atom
- Size of the total moment: 0.000 μB per atom
- Symmetry: No. 12

# 12
Below is crystalline K3Er3ScTe8 at its relaxed geometry, with properties calculated at the PBE level.

Lattice parameters (Å, degrees): 8.6300 8.6340 9.9021 115.83 90.00 120.01
Fractional positions:
K: 0.0000 0.0000 0.0000
K: 0.0000 0.5000 0.0000
K: 0.5000 0.5000 0.0000
Er: 0.5000 0.0000 0.5000
Er: 0.5000 0.5000 0.5000
Er: 0.0000 0.5000 0.5000
Sc: 0.0000 0.0000 0.5000
Te: 0.2638 0.5277 0.2917
Te: 0.7362 0.4723 0.7083
Te: 0.7700 0.5401 0.2980
Te: 0.2300 0.4599 0.7020
Te: 0.7700 0.0277 0.2980
Te: 0.2300 0.9723 0.7020
Te: 0.2577 0.0276 0.2979
Te: 0.7423 0.9724 0.7021

Results
- Raw total energy: -4.509 eV/atom
- Size of the total moment: 0.000 μB per atom
- Symmetry: No. 166

Question: Among the records above, which one has the highest raw total energy?
Answer: KEr2Sc